This record from the Alexandria database describes a relaxed Tb2Nd2Dy2Er crystal. The functional is GGA-PBE.

Output
The density of states at the Fermi level is 2.611 states/eV/atom. The calculation puts the volume at 230 Å³/cell. The total energy comes out at -4.5099 eV/atom. Its crystal system is trigonal.

Structure (extended XYZ):
```
7
Lattice="-5.2730 -1.0909 1.8739 -2.3385 -5.1231 -0.8895 0.5299 -4.7037 7.4262" Properties=species:S:1:pos:R:3 pbc="T T T"
Nd -0.7422 -3.6119 4.4823
Nd -6.3395 -7.3057 3.9283
Dy -4.2287 -4.8684 2.6133
Dy -2.8529 -6.0492 5.7973
Tb -5.0000 -8.4554 7.0283
Tb -2.0817 -2.4622 1.3823
Er 0.0000 0.0000 0.0000
```

=====

This record from the Alexandria database describes a relaxed La2YGe crystal. The functional is GGA-PBE.

Output
The density of states at the Fermi level is 1.378 states/eV/atom. The calculation puts the volume at 141 Å³/cell. The total energy comes out at -5.4403 eV/atom. Its crystal system is trigonal.

Structure (extended XYZ):
```
4
Lattice="4.1544 0.0000 0.0000 2.0772 3.5978 0.0000 2.0772 1.1993 9.4483" Properties=species:S:1:pos:R:3 pbc="T T T"
Ge 4.1544 2.3985 0.0164
La 2.0772 1.1993 7.6500
La 2.0772 1.1993 1.7815
Y 4.1544 2.3985 4.7245
```

=====

This record from the Alexandria database describes a relaxed Ac2Pm4SmDy crystal. The functional is GGA-PBE.

Output
The density of states at the Fermi level is 2.331 states/eV/atom. The calculation puts the volume at 599 Å³/cell. The total energy comes out at -4.1742 eV/atom. Its crystal system is monoclinic.

Structure (extended XYZ):
```
16
Lattice="-7.4832 3.9720 -5.0170 -6.5170 -5.6368 4.7645 9.7854 5.5901 4.5248" Properties=species:S:1:pos:R:3 pbc="T T T"
Ac -7.0000 -0.8324 -0.1263
Ac -3.7416 1.9860 -2.5085
Ac 1.1511 4.7810 -0.2461
Ac 4.8927 2.7950 2.2624
Pm 1.2633 2.1942 2.2144
Pm -2.4042 4.3092 -0.1166
Pm -0.8624 4.3396 4.1644
Pm -5.4781 1.7310 2.0579
Pm -3.3523 -0.4144 0.1078
Pm -1.8104 -0.3839 4.3888
Pm -7.3212 1.7548 -2.6240
Pm 3.1064 2.1705 6.8961
Sm -5.8490 3.9486 -0.3724
Sm -3.2585 -2.8184 2.3823
Dy -2.1073 1.9626 2.1362
Dy 2.3022 9.5620 -0.4923
```

=====

This record from the Alexandria database describes a relaxed K3Er2TlO6 crystal. The functional is GGA-PBE.

Output
The density of states at the Fermi level is 0.000 states/eV/atom. The calculation puts the volume at 194 Å³/cell. The total energy comes out at -5.9058 eV/atom. Its crystal system is monoclinic.

Structure (extended XYZ):
```
12
Lattice="5.9828 -0.0003 0.0014 -2.9902 5.1820 0.0014 -0.9966 -1.7257 6.2690" Properties=species:S:1:pos:R:3 pbc="T T T"
K 4.0193 -0.0169 3.1360
K 0.9980 1.7280 3.1360
K -2.0233 3.4729 3.1360
O 1.9607 3.3949 1.1946
O 2.0641 -0.0003 1.1968
O 3.0278 1.6683 5.0752
O 0.0353 0.0611 5.0774
O -0.0681 3.4563 5.0752
O -1.0318 1.7877 1.1968
Er -0.0012 3.4557 0.0014
Er 2.9939 1.7260 0.0014
Tl 0.0000 0.0000 0.0000
```